Entry from Alexandria via LeMat-Bulk: a geometry-optimized LiNbOs2Ru structure (GGA-PBE).

Results
The calculation puts the formation energy from the elements at 1023 meV per atom. The crystal system is tetragonal. Its total magnetic moment is 0.00 μB/atom.

abc: 4.1014 4.2299 4.1014
angles: 90.00 90.00 90.00
With the nearest neighbours (Å) after each atom.
Sites, in units of the cell vectors:
Ru  0.5000  0.5000  0.5000  4 Nb 2.90, 8 Os 2.95
Nb  0.0000  0.5000  0.0000  2 Li 2.11
Os  0.0000  0.0000  0.5000  2 Li 2.05
Os  0.5000  0.0000  0.0000  2 Li 2.05
Li  0.0000  0.0000  0.0000  4 Os 2.05, 2 Nb 2.11